[1]
First-principles (PBE) data for a relaxed structure of B2C3, as listed in Alexandria.

Cell lengths 7.007, 7.007, 3.890 Å; angles 75.39, 75.39, 20.90 degrees
Fractional positions:
1 B 0.998 0.998 0.063
2 B 0.495 0.495 0.725
3 B 0.714 0.714 0.551
4 B 0.588 0.588 0.345
5 C 0.204 0.204 0.813
6 C 0.392 0.392 0.608
7 C 0.892 0.892 0.379
8 C 0.114 0.114 0.123
9 C 0.802 0.802 0.187
10 C 0.301 0.301 0.957

Properties
symmetry = Cm
N(E_F) = 0.155 states/eV/atom
excess energy over the best structure of this formula in the dataset = 0.76 eV/f.u.
formation enthalpy at 0 K = 0.388 eV per atom
calculated total energy = -7.817 eV per atom
volume = 66 Å³/cell

---

[2]
First-principles (PBE) data for a relaxed structure of YMg2W, as listed in Alexandria.

Cell lengths 4.765, 2.976, 6.278 Å; angles 76.29, 90.00, 90.00 degrees
Fractional positions:
1 Mg 0.000 0.032 0.038
2 Mg 0.500 0.369 0.245
3 W 0.000 0.362 0.503
4 Y 0.500 0.736 0.713

Properties
symmetry = Pm
N(E_F) = 0.817 states/eV/atom
excess energy over the best structure of this formula in the dataset = 0.35 eV/f.u.
formation enthalpy at 0 K = 0.434 eV per atom
calculated total energy = -5.218 eV per atom
volume = 86 Å³/cell

---

[3]
First-principles (PBE) data for a relaxed structure of Ta2CrIr, as listed in Alexandria.

Cell lengths 4.266, 2.798, 5.340 Å; angles 79.48, 90.00, 90.00 degrees
Fractional positions:
1 Cr 0.500 0.250 0.250
2 Ir 0.500 0.750 0.750
3 Ta 0.000 0.026 0.009
4 Ta 0.000 0.474 0.491

Properties
symmetry = P2/m
N(E_F) = 0.943 states/eV/atom
formation enthalpy at 0 K = -0.148 eV per atom
calculated total energy = -10.695 eV per atom
volume = 63 Å³/cell

---

[4]
First-principles (PBE) data for a relaxed structure of KFe2H7, as listed in Alexandria.

Cell lengths 3.329, 4.949, 5.327 Å; angles 117.68, 90.00, 90.00 degrees
Last column: magnetic moment on the atom in μB.
Fractional positions:
1 K 0.000 0.000 0.000  -0.01
2 Fe 0.500 0.309 0.618  1.45
3 Fe 0.500 0.691 0.382  1.45
4 H 0.000 0.344 0.689  -0.02
5 H 0.000 0.656 0.311  -0.02
6 H 0.500 0.340 0.321  -0.02
7 H 0.500 0.660 0.679  -0.02
8 H 0.500 0.019 0.679  -0.02
9 H 0.500 0.981 0.321  -0.02
10 H 0.500 0.500 0.000  -0.02

Properties
symmetry = Cmmm
N(E_F) = 0.560 states/eV/atom
calculated total energy = -4.054 eV per atom
volume = 78 Å³/cell

---

[5]
First-principles (PBE) data for a relaxed structure of KIn3Os, as listed in Alexandria.

Cell lengths 5.253, 5.253, 5.253 Å; angles 90.00, 90.00, 90.00 degrees
Fractional positions:
1 K 0.500 0.500 0.500
2 Os 0.000 0.000 0.000
3 In 0.000 0.500 0.000
4 In 0.000 0.000 0.500
5 In 0.500 0.000 0.000

Properties
symmetry = Pm-3m
N(E_F) = 0.003 states/eV/atom
excess energy over the best structure of this formula in the dataset = 0.00 eV/f.u.
formation enthalpy at 0 K = -0.017 eV per atom
calculated total energy = -4.125 eV per atom
volume = 145 Å³/cell

---

[6]
First-principles (PBE) data for a relaxed structure of Hg2IrOs, as listed in Alexandria.

Cell lengths 2.886, 2.886, 9.711 Å; angles 90.00, 90.00, 119.83 degrees
Last column: magnetic moment on the atom in μB.
Fractional positions:
1 Hg 0.000 0.000 0.002  0.00
2 Hg 0.000 0.000 0.498  0.00
3 Ir 0.500 0.500 0.250  0.03
4 Os 0.500 0.500 0.750  0.22

Properties
symmetry = Cmmm
N(E_F) = 1.196 states/eV/atom
excess energy over the best structure of this formula in the dataset = 1.54 eV/f.u.
formation enthalpy at 0 K = 0.806 eV per atom
calculated total energy = -4.367 eV per atom
volume = 70 Å³/cell

---

[7]
First-principles (PBE) data for a relaxed structure of Dy3In3RuRh2, as listed in Alexandria.

Cell lengths 3.865, 7.581, 7.581 Å; angles 120.00, 90.00, 90.00 degrees
Fractional positions:
1 Dy 0.000 0.598 0.598
2 Dy 0.000 0.000 0.402
3 Dy 0.000 0.402 0.000
4 In 0.500 0.739 0.000
5 In 0.500 0.000 0.739
6 In 0.500 0.261 0.261
7 Ru 0.000 0.000 0.000
8 Rh 0.500 0.667 0.333
9 Rh 0.500 0.333 0.667

Properties
symmetry = P-62m
N(E_F) = 0.601 states/eV/atom
formation enthalpy at 0 K = -0.630 eV per atom
calculated total energy = -5.741 eV per atom
volume = 192 Å³/cell

---

[8]
First-principles (PBE) data for a relaxed structure of LaGa4CoPd2, as listed in Alexandria.

Cell lengths 4.261, 4.261, 9.296 Å; angles 76.75, 76.75, 60.00 degrees
Fractional positions:
1 La 0.000 0.000 0.000
2 Ga 0.405 0.405 0.784
3 Ga 0.864 0.864 0.408
4 Ga 0.136 0.136 0.592
5 Ga 0.595 0.595 0.216
6 Co 0.500 0.500 0.500
7 Pd 0.767 0.767 0.699
8 Pd 0.233 0.233 0.301

Properties
symmetry = R-3m
N(E_F) = 0.629 states/eV/atom
formation enthalpy at 0 K = -0.571 eV per atom
calculated total energy = -4.887 eV per atom
volume = 141 Å³/cell

---

[9]
First-principles (PBE) data for a relaxed structure of Ba3La5, as listed in Alexandria.

Cell lengths 10.443, 10.443, 10.448 Å; angles 96.49, 96.49, 140.68 degrees
Fractional positions:
1 Ba 0.251 0.250 0.000
2 Ba 0.750 0.751 0.000
3 Ba 0.657 0.157 0.813
4 Ba 0.344 0.844 0.188
5 Ba 0.844 0.657 0.501
6 Ba 0.157 0.344 0.501
7 La 0.751 0.251 0.500
8 La 0.250 0.750 0.501
9 La 0.237 0.083 0.320
10 La 0.764 0.918 0.681
11 La 0.263 0.583 0.846
12 La 0.738 0.418 0.155
13 La 0.418 0.264 0.681
14 La 0.583 0.737 0.320
15 La 0.918 0.238 0.155
16 La 0.083 0.763 0.846

Properties
symmetry = C2/m
N(E_F) = 1.486 states/eV/atom
excess energy over the best structure of this formula in the dataset = 0.89 eV/f.u.
formation enthalpy at 0 K = 0.297 eV per atom
calculated total energy = -3.503 eV per atom
volume = 680 Å³/cell

---

[10]
First-principles (PBE) data for a relaxed structure of AlIr2Pb, as listed in Alexandria.

Cell lengths 3.103, 5.214, 5.473 Å; angles 50.59, 90.00, 90.00 degrees
Fractional positions:
1 Pb 0.500 0.500 0.500
2 Ir 0.000 0.000 0.000
3 Ir 0.500 0.500 0.000
4 Al 0.000 0.000 0.500

Properties
symmetry = P2/m
N(E_F) = 0.588 states/eV/atom
excess energy over the best structure of this formula in the dataset = 1.28 eV/f.u.
formation enthalpy at 0 K = 0.151 eV per atom
calculated total energy = -6.142 eV per atom
volume = 68 Å³/cell

---

[11]
First-principles (PBE) data for a relaxed structure of Y4Hg2Ru, as listed in Alexandria.

Cell lengths 4.418, 6.093, 7.855 Å; angles 76.85, 73.67, 68.74 degrees
Fractional positions:
1 Y 0.074 0.201 0.651
2 Y 0.926 0.799 0.349
3 Y 0.330 0.276 0.065
4 Y 0.670 0.724 0.935
5 Hg 0.352 0.629 0.667
6 Hg 0.648 0.371 0.333
7 Ru 0.000 0.000 0.000

Properties
symmetry = C2/m
N(E_F) = 0.937 states/eV/atom
formation enthalpy at 0 K = -0.382 eV per atom
calculated total energy = -5.487 eV per atom
volume = 187 Å³/cell

---

[12]
First-principles (PBE) data for a relaxed structure of Y2ErHg8, as listed in Alexandria.

Cell lengths 5.068, 7.421, 8.527 Å; angles 115.79, 107.30, 90.00 degrees
Fractional positions:
1 Y 0.196 0.696 0.392
2 Y 0.804 0.304 0.608
3 Er 0.500 0.000 0.000
4 Hg 0.643 0.854 0.286
5 Hg 0.358 0.568 0.714
6 Hg 0.157 0.157 0.314
7 Hg 0.000 0.291 0.000
8 Hg 0.843 0.843 0.686
9 Hg 0.642 0.432 0.286
10 Hg 0.357 0.146 0.714
11 Hg 0.000 0.709 0.000

Properties
symmetry = Immm
N(E_F) = 0.493 states/eV/atom
formation enthalpy at 0 K = -0.303 eV per atom
calculated total energy = -2.113 eV per atom
volume = 273 Å³/cell

---

[13]
First-principles (PBE) data for a relaxed structure of MgCo2W, as listed in Alexandria.

Cell lengths 4.225, 4.225, 4.225 Å; angles 60.00, 60.00, 60.00 degrees
Last column: magnetic moment on the atom in μB.
Fractional positions:
1 Co 0.000 0.000 0.000  0.85
2 Co 0.250 0.250 0.250  1.27
3 Mg 0.500 0.500 0.500  0.00
4 W 0.750 0.750 0.750  -0.12

Properties
symmetry = F-43m
N(E_F) = 1.384 states/eV/atom
formation enthalpy at 0 K = 0.494 eV per atom
calculated total energy = -6.695 eV per atom
volume = 53 Å³/cell

---

[14]
First-principles (PBE) data for a relaxed structure of ZrV2Co2, as listed in Alexandria.

Cell lengths 3.867, 3.867, 5.673 Å; angles 70.07, 70.07, 90.00 degrees
Fractional positions:
1 Co 0.750 0.250 0.500
2 Co 0.250 0.750 0.500
3 Zr 0.000 0.000 0.000
4 V 0.373 0.373 0.253
5 V 0.627 0.627 0.747

Properties
symmetry = I4/mmm
N(E_F) = 0.695 states/eV/atom
excess energy over the best structure of this formula in the dataset = 0.95 eV/f.u.
formation enthalpy at 0 K = 0.053 eV per atom
calculated total energy = -8.147 eV per atom
volume = 74 Å³/cell

---

[15]
First-principles (PBE) data for a relaxed structure of TmUSb2, as listed in Alexandria.

Cell lengths 3.311, 3.311, 11.658 Å; angles 81.84, 81.84, 60.00 degrees
Last column: magnetic moment on the atom in μB.
Fractional positions:
1 Sb 0.090 0.090 0.731  -0.01
2 Sb 0.910 0.910 0.269  -0.01
3 Tm 0.000 0.000 0.000  0.07
4 U 0.500 0.500 0.500  2.06

Properties
symmetry = R-3m
N(E_F) = 1.714 states/eV/atom
excess energy over the best structure of this formula in the dataset = 2.68 eV/f.u.
formation energy (no corrections) = 0.045 eV per atom
calculated total energy = -5.956 eV per atom
volume = 109 Å³/cell

---

[16]
First-principles (PBE) data for a relaxed structure of YZr2OsBr, as listed in Alexandria.

Cell lengths 5.038, 5.439, 5.038 Å; angles 90.00, 90.00, 90.00 degrees
Fractional positions:
1 Y 0.500 0.500 0.500
2 Os 0.000 0.000 0.000
3 Br 0.000 0.500 0.000
4 Zr 0.000 0.000 0.500
5 Zr 0.500 0.000 0.000

Properties
symmetry = P4/mmm
N(E_F) = 1.054 states/eV/atom
formation energy (no corrections) = 0.544 eV per atom
calculated total energy = -6.749 eV per atom
volume = 138 Å³/cell

---

[17]
First-principles (PBE) data for a relaxed structure of TbOsC2, as listed in Alexandria.

Cell lengths 3.313, 3.313, 5.591 Å; angles 72.76, 72.76, 60.00 degrees
Fractional positions:
1 Tb 0.500 0.500 0.500
2 C 0.267 0.267 0.199
3 C 0.733 0.733 0.801
4 Os 0.000 0.000 0.000

Properties
symmetry = R-3m
N(E_F) = 0.215 states/eV/atom
formation enthalpy at 0 K = 0.251 eV per atom
calculated total energy = -8.326 eV per atom
volume = 50 Å³/cell

---

[18]
First-principles (PBE) data for a relaxed structure of TlHg5I11, as listed in Alexandria.

Cell lengths 7.514, 11.085, 11.085 Å; angles 103.43, 107.94, 107.94 degrees
Fractional positions:
1 Tl 0.000 0.000 0.000
2 Hg 0.673 0.029 0.328
3 Hg 0.327 0.971 0.672
4 Hg 0.327 0.672 0.971
5 Hg 0.673 0.328 0.029
6 Hg 0.000 0.500 0.500
7 I 0.403 0.641 0.641
8 I 0.597 0.359 0.359
9 I 0.710 0.127 0.721
10 I 0.290 0.873 0.279
11 I 0.290 0.279 0.873
12 I 0.710 0.721 0.127
13 I 0.500 0.000 0.000
14 I 0.929 0.821 0.577
15 I 0.071 0.179 0.423
16 I 0.071 0.423 0.179
17 I 0.929 0.577 0.821

Properties
symmetry = C2/m
N(E_F) = 0.000 states/eV/atom
formation energy (no corrections) = -0.291 eV per atom
calculated total energy = -1.522 eV per atom
volume = 779 Å³/cell

---

[19]
First-principles (PBE) data for a relaxed structure of Cd3AgPt2, as listed in Alexandria.

Cell lengths 3.008, 4.889, 7.857 Å; angles 108.13, 90.00, 90.00 degrees
Fractional positions:
1 Cd 0.500 0.500 0.000
2 Cd 0.500 0.823 0.647
3 Cd 0.500 0.177 0.353
4 Ag 0.000 0.000 0.000
5 Pt 0.000 0.342 0.685
6 Pt 0.000 0.658 0.315

Properties
symmetry = Cmmm
N(E_F) = 0.328 states/eV/atom
excess energy over the best structure of this formula in the dataset = 0.03 eV/f.u.
formation enthalpy at 0 K = -0.228 eV per atom
calculated total energy = -3.174 eV per atom
volume = 110 Å³/cell

---

[20]
First-principles (PBE) data for a relaxed structure of MgTi5, as listed in Alexandria.

Cell lengths 2.955, 2.955, 14.292 Å; angles 90.00, 90.00, 120.00 degrees
Fractional positions:
1 Mg 0.000 0.000 0.000
2 Ti 0.333 0.667 0.819
3 Ti 0.000 0.000 0.663
4 Ti 0.333 0.667 0.500
5 Ti 0.000 0.000 0.337
6 Ti 0.333 0.667 0.181

Properties
symmetry = P-6m2
N(E_F) = 1.065 states/eV/atom
excess energy over the best structure of this formula in the dataset = 0.00 eV/f.u.
formation enthalpy at 0 K = 0.061 eV per atom
calculated total energy = -6.784 eV per atom
volume = 108 Å³/cell